1.
A plane-wave DFT calculation with GGA-PBEsol was carried out for a geometry-optimized Ti5Te8 structure.

Its calculated volume is 24.4 A^3/atom. The calculation puts the density of states at the Fermi level at 0.67 states/eV/atom. The electronic total energy comes out at -79.48 eV/f.u. The raw formation energy is -742.9 meV per atom. The magnetization is 0.000 μB/atom.

It has space group C2/m (No. 12), with a = 12.598 Å, b = 7.632 Å, c = 9.092 Å, α = 90.00°, β = 133.54° and γ = 90.00°. The inequivalent atoms are Ti at (0.000, 0.000, 0.000), Ti at (0.000, 0.271, 0.500), Ti at (0.248, 0.500, 0.982), Te at (0.046, 0.000, 0.340), Te at (0.053, 0.500, 0.330) and Te at (0.203, 0.261, 0.172).

***

2.
A plane-wave DFT calculation with GGA-PBEsol was carried out for a geometry-optimized Ni2AsPt structure.

Its calculated volume is 12.9 A^3/atom. The calculation puts the density of states at the Fermi level at 0.61 states/eV/atom. The electronic total energy comes out at -24.63 eV/f.u. As for the formation energy: -62.3 meV per atom. The magnetization is 0.000 μB/atom.

It has space group C2/m (No. 12), with a = 7.632 Å, b = 2.766 Å, c = 5.008 Å, α = 90.00°, β = 101.61° and γ = 90.00°. The inequivalent atoms are Ni at (0.243, 0.000, 0.215), As at (0.000, 0.500, 0.000) and Pt at (0.000, 0.000, 0.500).

***

3.
A plane-wave DFT calculation with GGA-PBEsol was carried out for a geometry-optimized LiTlReNi2 structure.

Its calculated volume is 13.6 A^3/atom. The calculation puts the density of states at the Fermi level at 0.90 states/eV/atom. The electronic total energy comes out at -24.54 eV/f.u. As for the formation energy: 1140.2 meV per atom. The magnetization is 0.285 μB/atom.

It has space group P4/mmm (No. 123), with a = 3.963 Å, b = 3.963 Å, c = 4.319 Å, α = 90.00°, β = 90.00° and γ = 90.00°. The inequivalent atoms are Li at (0.000, 0.000, 0.000), Tl at (0.000, 0.000, 0.500), Re at (0.500, 0.500, 0.500) and Ni at (0.000, 0.500, 0.000).

***

4.
A plane-wave DFT calculation with GGA-PBEsol was carried out for a geometry-optimized Rb2ZnC structure.

Its calculated volume is 29.6 A^3/atom. The calculation puts the density of states at the Fermi level at 0.62 states/eV/atom. The electronic total energy comes out at -7.65 eV/f.u. As for the formation energy: 1405.8 meV per atom. The magnetization is 0.500 μB/atom.

It has space group Fm-3m (No. 225), with a = 7.790 Å, b = 7.790 Å, c = 7.790 Å, α = 90.00°, β = 90.00° and γ = 90.00°. The inequivalent atoms are Rb at (0.250, 0.250, 0.250), Zn at (0.000, 0.000, 0.000) and C at (0.000, 0.000, 0.500).

***

5.
A plane-wave DFT calculation with GGA-PBEsol was carried out for a geometry-optimized CdNiPb structure.

Its calculated volume is 20.1 A^3/atom. The calculation puts the density of states at the Fermi level at 0.54 states/eV/atom. The electronic total energy comes out at -11.12 eV/f.u. Its polymorph energy (0 for the lowest one) is 0 meV/atom. As for the formation energy: 78.2 meV per atom. The magnetization is 0.000 μB/atom.

It has space group F-43m (No. 216), with a = 6.224 Å, b = 6.224 Å, c = 6.224 Å, α = 90.00°, β = 90.00° and γ = 90.00°. The inequivalent atoms are Cd at (0.000, 0.000, 0.000), Ni at (0.250, 0.250, 0.250) and Pb at (0.000, 0.000, 0.500).

***

6.
A plane-wave DFT calculation with GGA-PBEsol was carried out for a geometry-optimized Y2AsP structure.

Its calculated volume is 21.1 A^3/atom. The calculation puts the density of states at the Fermi level at 0.46 states/eV/atom. The electronic total energy comes out at -29.01 eV/f.u. As for the formation energy: -1116.1 meV per atom. The magnetization is 0.000 μB/atom.

It has space group Fm-3m (No. 225), with a = 6.961 Å, b = 6.961 Å, c = 6.961 Å, α = 90.00°, β = 90.00° and γ = 90.00°. The inequivalent atoms are Y at (0.250, 0.250, 0.250), As at (0.000, 0.000, 0.000) and P at (0.000, 0.000, 0.500).

***

7.
A plane-wave DFT calculation with GGA-PBEsol was carried out for a geometry-optimized LiBH7N structure.

Its calculated volume is 8.7 A^3/atom. The calculation puts the density of states at the Fermi level at 0.00 states/eV/atom. The electronic total energy comes out at -44.29 eV/f.u. The magnetization is 0.000 μB/atom.

It has space group Pnma (No. 62), with a = 5.710 Å, b = 4.347 Å, c = 13.972 Å, α = 90.00°, β = 90.00° and γ = 90.00°. The inequivalent atoms are Li at (0.123, 0.250, 0.074), B at (0.082, 0.250, 0.899), H at (0.033, 0.063, 0.367), H at (0.074, 0.022, 0.848), H at (0.088, 0.750, 0.045), H at (0.101, 0.750, 0.719), H at (0.233, 0.750, 0.445) and N at (0.072, 0.750, 0.646).

***

8.
A plane-wave DFT calculation with GGA-PBEsol was carried out for a geometry-optimized Y2CrOs structure.

Its calculated volume is 21.3 A^3/atom. The calculation puts the density of states at the Fermi level at 0.40 states/eV/atom. The electronic total energy comes out at -35.10 eV/f.u. Its polymorph energy (0 for the lowest one) is 78 meV/atom. As for the formation energy: 251.0 meV per atom. The magnetization is 0.000 μB/atom.

It has space group Pm (No. 6), with a = 3.247 Å, b = 3.984 Å, c = 6.728 Å, α = 90.00°, β = 102.39° and γ = 90.00°. The inequivalent atoms are Y at (0.000, 0.000, 0.000), Y at (0.323, 0.500, 0.614), Cr at (0.535, 0.500, 0.230) and Os at (0.765, 0.000, 0.383).

***

9.
A plane-wave DFT calculation with GGA-PBEsol was carried out for a geometry-optimized Li2TlTc structure.

Its calculated volume is 16.3 A^3/atom. The calculation puts the density of states at the Fermi level at 0.35 states/eV/atom. The electronic total energy comes out at -16.68 eV/f.u. As for the formation energy: 286.6 meV per atom. The magnetization is 0.000 μB/atom.

It has space group C2/m (No. 12), with a = 5.540 Å, b = 9.491 Å, c = 2.806 Å, α = 90.00°, β = 117.79° and γ = 90.00°. The inequivalent atoms are Li at (0.250, 0.250, 0.000), Tl at (0.000, 0.000, 0.500) and Tc at (0.000, 0.500, 0.500).

***

10.
A plane-wave DFT calculation with GGA-PBEsol was carried out for a geometry-optimized SrTiOs2 structure.

Its calculated volume is 17.1 A^3/atom. The calculation puts the density of states at the Fermi level at 0.83 states/eV/atom. The electronic total energy comes out at -32.06 eV/f.u. As for the formation energy: 632.5 meV per atom. The magnetization is 0.000 μB/atom.

It has space group Fm-3m (No. 225), with a = 6.494 Å, b = 6.494 Å, c = 6.494 Å, α = 90.00°, β = 90.00° and γ = 90.00°. The inequivalent atoms are Sr at (0.000, 0.000, 0.000), Ti at (0.000, 0.000, 0.500) and Os at (0.250, 0.250, 0.250).

***

11.
A plane-wave DFT calculation with GGA-PBEsol was carried out for a geometry-optimized MgCoIr2 structure.

Its calculated volume is 13.7 A^3/atom. The calculation puts the density of states at the Fermi level at 1.28 states/eV/atom. The electronic total energy comes out at -29.25 eV/f.u. As for the formation energy: -37.3 meV per atom. The magnetization is 0.459 μB/atom.

It has space group C2/m (No. 12), with a = 8.811 Å, b = 2.709 Å, c = 4.672 Å, α = 90.00°, β = 101.44° and γ = 90.00°. The inequivalent atoms are Mg at (0.000, 0.000, 0.000), Co at (0.000, 0.500, 0.500) and Ir at (0.239, 0.000, 0.737).

***

12.
A plane-wave DFT calculation with GGA-PBEsol was carried out for a geometry-optimized Zn2Os structure.

Its calculated volume is 13.6 A^3/atom. The calculation puts the density of states at the Fermi level at 0.44 states/eV/atom. The electronic total energy comes out at -15.10 eV/f.u. As for the formation energy: 93.1 meV per atom. The magnetization is 0.000 μB/atom.

It has space group Cm (No. 8), with a = 9.698 Å, b = 2.775 Å, c = 6.275 Å, α = 90.00°, β = 104.20° and γ = 90.00°. The inequivalent atoms are Zn at (0.000, 0.000, 0.000), Zn at (0.044, 0.000, 0.606), Zn at (0.222, 0.500, 0.946), Zn at (0.388, 0.000, 0.273), Os at (0.167, 0.500, 0.337) and Os at (0.322, 0.000, 0.660).

***

13.
A plane-wave DFT calculation with GGA-PBEsol was carried out for a geometry-optimized CdHgP2 structure.

Its calculated volume is 19.7 A^3/atom. The calculation puts the density of states at the Fermi level at 0.44 states/eV/atom. The electronic total energy comes out at -12.06 eV/f.u. Its polymorph energy (0 for the lowest one) is 0 meV/atom. As for the formation energy: 322.7 meV per atom. The magnetization is 0.000 μB/atom.

It has space group C2/m (No. 12), with a = 5.531 Å, b = 7.494 Å, c = 4.463 Å, α = 90.00°, β = 121.76° and γ = 90.00°. The inequivalent atoms are Cd at (0.000, 0.000, 0.000), Hg at (0.000, 0.500, 0.000) and P at (0.250, 0.250, 0.500).